Record 1
A plane-wave DFT calculation with PBE-GGA was carried out for Be2Au13 after structural relaxation.

Spin magnetization: 0.00 μB/cell
Symmetry: No. 2
ΔE_f: -0.11 eV per formula unit

Unit cell a=5.7871 b=5.8456 c=8.3960 alpha=71.27 beta=77.79 gamma=89.87
Last column: nearest neighbours and their distance in Å.
Sites, in units of the cell vectors:
Be 0.1198 0.0348 0.2002  8 Au 2.36-2.63
Be 0.8802 0.9652 0.7998  8 Au 2.36-2.63
Au 0.0000 0.0000 0.5000  2 Be 2.41
Au 0.0526 0.5979 0.7725  1 Be 2.42
Au 0.1920 0.8523 0.9822  2 Be 2.36-2.56
Au 0.2435 0.6492 0.3588  1 Be 2.42
Au 0.2832 0.2269 0.6498  1 Be 2.63, 7 Au 2.81-2.91
Au 0.3721 0.3252 0.9560  1 Be 2.39
Au 0.4505 0.2045 0.3058  1 Be 2.59, 2 Au 2.80-2.89
Au 0.5495 0.7955 0.6942  1 Be 2.59, 2 Au 2.80-2.89
Au 0.6279 0.6748 0.0440  1 Be 2.39
Au 0.7168 0.7731 0.3502  1 Be 2.63, 7 Au 2.81-2.91
Au 0.7565 0.3508 0.6412  1 Be 2.42
Au 0.8080 0.1477 0.0178  2 Be 2.36-2.56
Au 0.9474 0.4021 0.2275  1 Be 2.42

=====

Record 2
A plane-wave DFT calculation with PBE-GGA was carried out for LiPd2Se2 after structural relaxation.

Spin magnetization: 0.00 μB/cell
E_form (uncorrected): -0.368 eV per atom
Symmetry: No. 127

Unit cell a=7.1883 b=7.1883 c=3.4336 alpha=90.00 beta=90.00 gamma=90.00
Last column: nearest neighbours and their distance in Å.
Sites, in units of the cell vectors:
Li 0.0000 0.0000 0.0000  4 Se 2.68
Li 0.5000 0.5000 0.0000  4 Se 2.68
Pd 0.1464 0.3536 0.5000  6 Se 2.57-2.83
Pd 0.3536 0.8536 0.5000  6 Se 2.57-2.83
Pd 0.6464 0.1464 0.5000  6 Se 2.57-2.83
Pd 0.8536 0.6464 0.5000  6 Se 2.57-2.83
Se 0.1656 0.6656 0.0000  6 Pd 2.57-2.83, 2 Li 2.68
Se 0.3344 0.1656 0.0000  6 Pd 2.57-2.83, 2 Li 2.68
Se 0.6656 0.8344 0.0000  6 Pd 2.57-2.83, 2 Li 2.68
Se 0.8344 0.3344 0.0000  6 Pd 2.57-2.83, 2 Li 2.68

=====

Record 3
A plane-wave DFT calculation with PBE-GGA was carried out for LaNdSm2Tm2 after structural relaxation.

Spin magnetization: 0.00 μB/cell
Symmetry: No. 58
ΔE_f: 1.60 eV per formula unit

Unit cell a=6.5477 b=18.3170 c=3.4239 alpha=90.00 beta=90.00 gamma=90.00
Last column: nearest neighbours and their distance in Å.
Sites, in units of the cell vectors:
La 0.0000 0.0000 0.0000  2 Tm 3.28, 2 La 3.42
La 0.5000 0.5000 0.5000  2 Tm 3.28, 2 La 3.42
Nd 0.0000 0.5000 0.0000  2 Nd 3.42, 4 Tm 3.49, 4 La 3.69
Nd 0.5000 0.0000 0.5000  2 Nd 3.42, 4 Tm 3.49, 4 La 3.69
Sm 0.2151 0.1911 0.0000  4 Tm 3.36-3.42, 2 Sm 3.42
Sm 0.2849 0.6911 0.5000  4 Tm 3.36-3.42, 2 Sm 3.42
Sm 0.7151 0.3089 0.5000  4 Tm 3.36-3.42, 2 Sm 3.42
Sm 0.7849 0.8089 0.0000  4 Tm 3.36-3.42, 2 Sm 3.42
Tm 0.2139 0.3527 0.5000  1 La 3.28, 4 Sm 3.36-3.42, 2 Tm 3.42, 2 Nd 3.49
Tm 0.2861 0.8527 0.0000  1 La 3.28, 4 Sm 3.36-3.42, 2 Tm 3.42, 2 Nd 3.49
Tm 0.7139 0.1473 0.0000  1 La 3.28, 4 Sm 3.36-3.42, 2 Tm 3.42, 2 Nd 3.49
Tm 0.7861 0.6473 0.5000  1 La 3.28, 4 Sm 3.36-3.42, 2 Tm 3.42, 2 Nd 3.49

=====

Record 4
A plane-wave DFT calculation with PBE-GGA was carried out for Pm7PrNd12 after structural relaxation.

Spin magnetization: 0.00 μB/cell
Symmetry: No. 166
ΔE_f: 1.74 eV per formula unit

Unit cell a=8.9969 b=8.9969 c=8.9969 alpha=98.97 beta=98.97 gamma=98.97
Last column: nearest neighbours and their distance in Å.
Sites, in units of the cell vectors:
Pm 0.0000 0.0000 0.0000  12 Nd 3.56-3.68
Pm 0.1587 0.5931 0.5931  1 Pm 3.15, 1 Pr 3.50
Pm 0.4069 0.4069 0.8413  1 Pm 3.15, 1 Pr 3.50
Pm 0.4069 0.8413 0.4069  1 Pm 3.15, 1 Pr 3.50
Pm 0.5931 0.1587 0.5931  1 Pm 3.15, 1 Pr 3.50
Pm 0.5931 0.5931 0.1587  1 Pm 3.15, 1 Pr 3.50
Pm 0.8413 0.4069 0.4069  1 Pm 3.15, 1 Pr 3.50
Pr 0.5000 0.5000 0.5000  6 Pm 3.50
Nd 0.0000 0.2601 0.7399  6 Nd 3.49-3.64, 5 Pm 3.56-3.64
Nd 0.0000 0.7399 0.2601  6 Nd 3.49-3.64, 5 Pm 3.56-3.64
Nd 0.1450 0.1450 0.4111  6 Nd 3.49-3.64, 3 Pm 3.68-3.88
Nd 0.1450 0.4111 0.1450  6 Nd 3.49-3.64, 3 Pm 3.68-3.88
Nd 0.2601 0.0000 0.7399  6 Nd 3.49-3.64, 5 Pm 3.56-3.64
Nd 0.2601 0.7399 0.0000  6 Nd 3.49-3.64, 5 Pm 3.56-3.64
Nd 0.4111 0.1450 0.1450  6 Nd 3.49-3.64, 3 Pm 3.68-3.88
Nd 0.5889 0.8550 0.8550  6 Nd 3.49-3.64, 3 Pm 3.68-3.88
Nd 0.7399 0.0000 0.2601  6 Nd 3.49-3.64, 5 Pm 3.56-3.64
Nd 0.7399 0.2601 0.0000  6 Nd 3.49-3.64, 5 Pm 3.56-3.64
Nd 0.8550 0.5889 0.8550  6 Nd 3.49-3.64, 3 Pm 3.68-3.88
Nd 0.8550 0.8550 0.5889  6 Nd 3.49-3.64, 3 Pm 3.68-3.88

=====

Record 5
A plane-wave DFT calculation with PBE-GGA was carried out for AcRh2Se after structural relaxation.

Spin magnetization: 0.00 μB/cell
E_form (uncorrected): -0.624 eV per atom
Symmetry: No. 166

Unit cell a=5.7228 b=5.7228 c=5.7228 alpha=44.92 beta=44.92 gamma=44.92
Last column: nearest neighbours and their distance in Å.
Sites, in units of the cell vectors:
Ac 0.0000 0.0000 0.0000  8 Rh 3.18-3.19
Rh 0.2066 0.2066 0.2066  3 Se 2.60, 3 Rh 2.81
Rh 0.7934 0.7934 0.7934  3 Se 2.60, 3 Rh 2.81
Se 0.5000 0.5000 0.5000  6 Rh 2.60

=====

Record 6
A plane-wave DFT calculation with PBE-GGA was carried out for YHgAs2O8 after structural relaxation.

Spin magnetization: 1.01 μB/cell
E_form (uncorrected): -1.441 eV per atom
Symmetry: No. 119

Unit cell a=6.0497 b=6.0497 c=6.0497 alpha=106.59 beta=106.59 gamma=115.41
Last column: nearest neighbours and their distance in Å.
Sites, in units of the cell vectors:
Y 0.0000 0.0000 0.0000  8 O 2.34-2.42
Hg 0.7500 0.2500 0.5000  8 O 2.39-2.53
As 0.2500 0.7500 0.5000  4 O 1.72
As 0.5000 0.5000 0.0000  4 O 1.73
O 0.0824 0.3975 0.3151  1 As 1.72
O 0.0824 0.7673 0.6849  1 As 1.72
O 0.1431 0.3185 0.8246  1 As 1.73
O 0.2327 0.9176 0.3151  1 As 1.72
O 0.4938 0.3185 0.1754  1 As 1.73
O 0.6025 0.9176 0.6849  1 As 1.72
O 0.6815 0.5062 0.8246  1 As 1.73
O 0.6815 0.8569 0.1754  1 As 1.73

=====

Record 7
A plane-wave DFT calculation with PBE-GGA was carried out for TcBNO2 after structural relaxation.

Spin magnetization: 0.00 μB/cell
E_form (uncorrected): 0.496 eV per atom
Symmetry: No. 123

Unit cell a=3.8545 b=3.8545 c=3.8710 alpha=90.00 beta=90.00 gamma=90.00
Last column: nearest neighbours and their distance in Å.
Sites, in units of the cell vectors:
Tc 0.0000 0.0000 0.0000  4 O 1.93, 2 N 1.94
B 0.5000 0.5000 0.5000  4 N 2.73, 8 O 2.73
N 0.0000 0.0000 0.5000  2 Tc 1.94
O 0.0000 0.5000 0.0000  2 Tc 1.93
O 0.5000 0.0000 0.0000  2 Tc 1.93

=====

Record 8
A plane-wave DFT calculation with PBE-GGA was carried out for MgZrRhN2 after structural relaxation.

Spin magnetization: 0.00 μB/cell
E_form (uncorrected): 1.477 eV per atom
Symmetry: No. 123

Unit cell a=3.8498 b=3.8498 c=5.4451 alpha=90.00 beta=90.00 gamma=90.00
Last column: nearest neighbours and their distance in Å.
Sites, in units of the cell vectors:
Mg 0.0000 0.0000 0.0000  4 N 1.92
Zr 0.0000 0.0000 0.5000  4 Rh 2.72, 2 Mg 2.72
Rh 0.5000 0.5000 0.5000  4 Zr 2.72
N 0.0000 0.5000 0.0000  2 Mg 1.92
N 0.5000 0.0000 0.0000  2 Mg 1.92

=====

Record 9
A plane-wave DFT calculation with PBE-GGA was carried out for BeAlGa3 after structural relaxation.

Spin magnetization: 0.00 μB/cell
Symmetry: No. 221
ΔE_f: 4.10 eV per formula unit

Unit cell a=4.9211 b=4.9211 c=4.9211 alpha=90.00 beta=90.00 gamma=90.00
Last column: nearest neighbours and their distance in Å.
Sites, in units of the cell vectors:
Be 0.0000 0.0000 0.0000  12 Ga 3.48
Al 0.5000 0.5000 0.5000  6 Ga 2.46
Ga 0.0000 0.5000 0.5000  2 Al 2.46
Ga 0.5000 0.0000 0.5000  2 Al 2.46
Ga 0.5000 0.5000 0.0000  2 Al 2.46

=====

Record 10
A plane-wave DFT calculation with PBE-GGA was carried out for CeDyHg2 after structural relaxation.

Spin magnetization: 1.64 μB/cell
Symmetry: No. 225
ΔE_f: -1.49 eV per formula unit

Unit cell a=5.3436 b=5.3436 c=5.3436 alpha=60.00 beta=60.00 gamma=60.00
Last column: nearest neighbours and their distance in Å.
Sites, in units of the cell vectors:
Ce 0.0000 0.0000 0.0000  8 Hg 3.27
Dy 0.5000 0.5000 0.5000  8 Hg 3.27
Hg 0.2500 0.2500 0.2500  4 Ce 3.27, 4 Dy 3.27
Hg 0.7500 0.7500 0.7500  4 Dy 3.27, 4 Ce 3.27

=====

Record 11
A plane-wave DFT calculation with PBE-GGA was carried out for Ti4Cu2O after structural relaxation.

Spin magnetization: 0.10 μB/cell
E_form (uncorrected): -0.658 eV per atom
Symmetry: No. 139

Unit cell a=6.8996 b=6.8996 c=6.8996 alpha=146.13 beta=146.13 gamma=48.65
Last column: nearest neighbours and their distance in Å.
Sites, in units of the cell vectors:
Ti 0.0000 0.5000 0.5000  2 O 2.01
Ti 0.1747 0.1747 0.0000  1 O 2.20, 1 Cu 2.45
Ti 0.5000 0.0000 0.5000  2 O 2.01
Ti 0.8253 0.8253 0.0000  1 O 2.20, 1 Cu 2.45
Cu 0.3698 0.3698 0.0000  5 Ti 2.45-2.59
Cu 0.6302 0.6302 0.0000  5 Ti 2.45-2.59
O 0.0000 0.0000 0.0000  6 Ti 2.01-2.20